! FeCo2Si, single point on PBEsol structure, DFT meta-GGA SCAN; values from VASP
! * E_tot: -15.74 eV per atom
! * total magnetic moment: 5.12 μB per formula unit
! * volume: 43 Å³/cell
! * symmetry: No. 166
! * DOS at the Fermi energy: 2.333 states/eV per cell
&SYSTEM
  ibrav = 0, nat = 4, ntyp = 3
/
ATOMIC_SPECIES
Co 58.93 Co.upf
Fe 55.84 Fe.upf
Si 28.09 Si.upf
CELL_PARAMETERS angstrom
-1.054 -0.339 -2.305
0.983 -1.721 -1.615
-4.591 -5.992 1.563
ATOMIC_POSITIONS angstrom
Co -1.121 -1.962 -0.617
Co -3.541 -6.090 -1.740
Fe -2.331 -4.026 -1.178
Si 0.000 0.000 0.000


! K2AsPb, single point on PBEsol structure, DFT meta-GGA SCAN; values from VASP
! * E_tot: -28.59 eV per atom
! * relative energy among the computed polymorphs: 0 meV/atom
! * total magnetic moment: 0.01 μB per formula unit
! * ΔH_f (0 K): -430 meV per atom
! * volume: 140 Å³/cell
! * symmetry: No. 38
! * DOS at the Fermi energy: 1.951 states/eV per cell
&SYSTEM
  ibrav = 0, nat = 4, ntyp = 3
/
ATOMIC_SPECIES
Pb 207.20 Pb.upf
As 74.92 As.upf
K 39.10 K.upf
CELL_PARAMETERS angstrom
4.285 0.000 0.000
0.000 5.244 -0.023
0.000 -2.594 6.242
ATOMIC_POSITIONS angstrom
Pb 0.000 0.342 3.089
As 2.142 0.350 4.830
K 0.000 -2.269 5.632
K 2.142 2.959 2.017


! CdAsRh2, single point on PBEsol structure, DFT meta-GGA SCAN; values from VASP
! * E_tot: -29.51 eV per atom
! * relative energy among the computed polymorphs: 356 meV/atom
! * total magnetic moment: 0.00 μB per formula unit
! * ΔH_f (0 K): 26 meV per atom
! * volume: 61 Å³/cell
! * symmetry: No. 119
! * DOS at the Fermi energy: 3.978 states/eV per cell
&SYSTEM
  ibrav = 0, nat = 4, ntyp = 3
/
ATOMIC_SPECIES
As 74.92 As.upf
Rh 102.91 Rh.upf
Cd 112.41 Cd.upf
CELL_PARAMETERS angstrom
-3.558 0.599 -1.087
-0.895 -3.525 0.988
1.240 2.829 4.029
ATOMIC_POSITIONS angstrom
As -2.226 -1.463 -0.050
Rh 0.000 0.000 0.000
Rh -2.272 0.982 1.446
Cd -0.941 -1.079 2.484


! AlBr2Cl, single point on PBEsol structure, DFT meta-GGA SCAN; values from VASP
! * E_tot: -14.48 eV per atom
! * relative energy among the computed polymorphs: 91 meV/atom
! * total magnetic moment: 0.00 μB per formula unit
! * volume: 96 Å³/cell
! * symmetry: No. 44
&SYSTEM
  ibrav = 0, nat = 4, ntyp = 3
/
ATOMIC_SPECIES
Al 26.98 Al.upf
Br 79.90 Br.upf
Cl 35.45 Cl.upf
CELL_PARAMETERS angstrom
3.319 0.000 0.000
0.000 5.686 0.000
-1.659 -2.843 5.084
ATOMIC_POSITIONS angstrom
Al 0.000 2.843 2.505
Br 1.659 2.843 4.294
Br 1.659 0.000 2.471
Cl 1.659 2.843 0.897